1.
{"formula": "SmDyErZn", "functional": "PBE-GGA", "state": "relaxed", "e_above_lowest_polymorph_ev_per_fu": 0.80, "vol_a3_per_atom": 27.1, "final_energy_ry_per_atom": -0.276, "n_ef_per_ev_fu": 4.9, "cell": [[0.0000, 3.7821, 3.7821], [3.7821, 0.0000, 3.7821], [3.7821, 3.7821, 0.0000]], "species": ["Sm", "Dy", "Er", "Zn"], "frac_coords": [[0.0000, 0.0000, 0.0000], [0.5000, 0.5000, 0.5000], [0.7500, 0.7500, 0.7500], [0.2500, 0.2500, 0.2500]]}

2.
{"formula": "Ce2Pr3N4", "functional": "PBE-GGA", "state": "relaxed", "e_form_raw_ev_per_atom": -1.198, "vol_a3_per_atom": 19.3, "final_energy_ry_per_atom": -0.574, "n_ef_per_ev_fu": 8.0, "cell": [[6.1268, -1.8238, 0.0000], [6.1268, 1.8238, 0.0000], [-4.7151, 0.0000, 7.7686]], "species": ["Ce", "Ce", "Pr", "Pr", "Pr", "N", "N", "N", "N"], "frac_coords": [[0.1064, 0.1064, 0.3836], [0.8936, 0.8936, 0.6164], [0.2991, 0.2991, 0.1933], [0.5000, 0.5000, 0.0000], [0.7009, 0.7009, 0.8067], [0.0989, 0.0989, 0.8945], [0.3015, 0.3015, 0.6826], [0.6985, 0.6985, 0.3174], [0.9011, 0.9011, 0.1055]]}

3.
{"formula": "RuPt2", "functional": "PBE-GGA", "state": "relaxed", "vol_a3_per_atom": 16.6, "final_energy_ry_per_atom": -0.487, "n_ef_per_ev_fu": 4.5, "cell": [[0.0000, 3.6782, 3.6782], [3.6782, 0.0000, 3.6782], [3.6782, 3.6782, 0.0000]], "species": ["Ru", "Ru", "Pt", "Pt", "Pt", "Pt"], "frac_coords": [[0.1250, 0.1250, 0.1250], [0.8750, 0.8750, 0.8750], [0.0000, 0.5000, 0.5000], [0.5000, 0.0000, 0.5000], [0.5000, 0.5000, 0.0000], [0.5000, 0.5000, 0.5000]]}

4.
{"formula": "TcRu2Cl", "functional": "PBE-GGA", "state": "relaxed", "e_above_lowest_polymorph_ev_per_fu": 1.07, "e_form_raw_ev_per_atom": 0.593, "vol_a3_per_atom": 14.9, "final_energy_ry_per_atom": -0.522, "n_ef_per_ev_fu": 4.2, "cell": [[4.8959, -1.4133, 0.0000], [4.8959, 1.4133, 0.0000], [-0.0148, 0.0000, 4.3015]], "species": ["Tc", "Ru", "Ru", "Cl"], "frac_coords": [[0.0000, 0.0000, 0.0000], [0.2930, 0.2930, 0.2499], [0.5673, 0.5673, 0.4700], [0.7843, 0.7843, 0.7304]]}